[1]
# PaO3

Crystalline PaO3 at its relaxed geometry (PBE, Alexandria).

Computed properties:
Energy relative to the elements, uncorrected: -2.5676 eV per atom
Electronic total energy: -69.28 eV/cell
N(E_F): 1.29 states/eV per cell

Cell and atoms, written as CIF:
```
data_PaO3
_chemical_formula_sum 'Pa2 O6'
_symmetry_space_group_name_H-M 'I 4/m m m'
_symmetry_Int_Tables_number 139
_symmetry_space_group_name_Hall '-I 4 2'
_cell_length_a 3.6870
_cell_length_b 3.6870
_cell_length_c 6.1640
_cell_angle_alpha 90.00
_cell_angle_beta 90.00
_cell_angle_gamma 90.00
loop_
_atom_site_label
_atom_site_type_symbol
_atom_site_fract_x
_atom_site_fract_y
_atom_site_fract_z
Pa1 Pa 0.0000 0.0000 0.0000
O1 O 0.0000 0.0000 0.5000
O2 O 0.0000 0.5000 0.2500
```

[2]
# PaO3

Crystalline PaO3 at its relaxed geometry (PBE, Alexandria).

Computed properties:
Energy relative to the elements, uncorrected: -2.3103 eV per atom
Electronic total energy: -33.61 eV/cell
N(E_F): 1.75 states/eV per cell

Cell and atoms, written as CIF:
```
data_PaO3
_chemical_formula_sum 'Pa1 O3'
_symmetry_space_group_name_H-M 'P m -3 m'
_symmetry_Int_Tables_number 221
_symmetry_space_group_name_Hall '-P 4 2 3'
_cell_length_a 3.4826
_cell_length_b 3.4826
_cell_length_c 3.4826
_cell_angle_alpha 90.00
_cell_angle_beta 90.00
_cell_angle_gamma 90.00
loop_
_atom_site_label
_atom_site_type_symbol
_atom_site_fract_x
_atom_site_fract_y
_atom_site_fract_z
Pa1 Pa 0.0000 0.0000 0.0000
O1 O 0.0000 0.5000 0.5000
```

[3]
# Pa2PbO7

Crystalline Pa2PbO7 at its relaxed geometry (PBE, Alexandria).

Computed properties:
Energy relative to the elements, uncorrected: -2.7038 eV per atom
Electronic total energy: -253.34 eV/cell

Cell and atoms, written as CIF:
```
data_Pa2PbO7
_chemical_formula_sum 'Pa6 Pb3 O21'
_symmetry_space_group_name_H-M 'R -3 m'
_symmetry_Int_Tables_number 166
_symmetry_space_group_name_Hall '-R 3 2"'
_cell_length_a 3.8449
_cell_length_b 3.8449
_cell_length_c 32.0192
_cell_angle_alpha 90.00
_cell_angle_beta 90.00
_cell_angle_gamma 120.00
loop_
_atom_site_label
_atom_site_type_symbol
_atom_site_fract_x
_atom_site_fract_y
_atom_site_fract_z
Pa1 Pa 0.0000 0.0000 0.0657
Pb1 Pb 0.0000 0.0000 0.5000
O1 O 0.0000 0.0000 0.0000
O2 O 0.0000 0.0000 0.1419
O3 O 0.0000 0.0000 0.2804
O4 O 0.0000 0.0000 0.4256
```

[4]
# Pa4PbO12

Crystalline Pa4PbO12 at its relaxed geometry (PBE, Alexandria).

Computed properties:
Energy relative to the elements, uncorrected: -2.9968 eV per atom
Electronic total energy: -304.27 eV/cell

Cell and atoms, written as CIF:
```
data_Pa4PbO12
_chemical_formula_sum 'Pa8 Pb2 O24'
_symmetry_space_group_name_H-M 'I m m m'
_symmetry_Int_Tables_number 71
_symmetry_space_group_name_Hall '-I 2 2'
_cell_length_a 8.2881
_cell_length_b 8.3834
_cell_length_c 8.7891
_cell_angle_alpha 90.00
_cell_angle_beta 90.00
_cell_angle_gamma 90.00
loop_
_atom_site_label
_atom_site_type_symbol
_atom_site_fract_x
_atom_site_fract_y
_atom_site_fract_z
Pa1 Pa 0.2500 0.2500 0.2500
Pb1 Pb 0.0000 0.0000 0.0000
O1 O 0.0000 0.2873 0.2843
O2 O 0.1810 0.1871 0.0000
O3 O 0.2055 0.0000 0.2802
```

[5]
# Pa3PbO8

Crystalline Pa3PbO8 at its relaxed geometry (PBE, Alexandria).

Computed properties:
Energy relative to the elements, uncorrected: -2.9766 eV per atom
Electronic total energy: -322.74 eV/cell
N(E_F): 21.64 states/eV per cell

Cell and atoms, written as CIF:
```
data_Pa3PbO8
_chemical_formula_sum 'Pa9 Pb3 O24'
_symmetry_space_group_name_H-M 'R -3 m'
_symmetry_Int_Tables_number 166
_symmetry_space_group_name_Hall '-R 3 2"'
_cell_length_a 7.1372
_cell_length_b 7.1372
_cell_length_c 18.6068
_cell_angle_alpha 90.00
_cell_angle_beta 90.00
_cell_angle_gamma 120.00
loop_
_atom_site_label
_atom_site_type_symbol
_atom_site_fract_x
_atom_site_fract_y
_atom_site_fract_z
Pa1 Pa 0.0000 0.5000 0.0000
Pb1 Pb 0.0000 0.0000 0.5000
O1 O 0.0000 0.0000 0.2784
O2 O 0.0582 0.5291 0.2747
```

[6]
# Pa2PbO6

Crystalline Pa2PbO6 at its relaxed geometry (PBE, Alexandria).

Computed properties:
Energy relative to the elements, uncorrected: -2.9959 eV per atom
Electronic total energy: -158.82 eV/cell
N(E_F): 0.00 states/eV per cell

Cell and atoms, written as CIF:
```
data_Pa2PbO6
_chemical_formula_sum 'Pa4 Pb2 O12'
_symmetry_space_group_name_H-M 'C 1 2/m 1'
_symmetry_Int_Tables_number 12
_cell_length_a 11.6799
_cell_length_b 4.3136
_cell_length_c 7.7690
_cell_angle_alpha 90.00
_cell_angle_beta 121.19
_cell_angle_gamma 90.00
loop_
_symmetry_equiv_pos_as_xyz
'x,y,z'
'-x,-y,-z'
'-x,y,-z'
'x,-y,z'
'x+1/2,y+1/2,z'
'-x+1/2,-y+1/2,-z'
'-x+1/2,y+1/2,-z'
'x+1/2,-y+1/2,z'
loop_
_atom_site_label
_atom_site_type_symbol
_atom_site_fract_x
_atom_site_fract_y
_atom_site_fract_z
Pa1 Pa 0.1763 0.0000 0.1119
Pb1 Pb 0.0000 0.0000 0.5000
O1 O 0.0084 0.0000 0.1733
O2 O 0.1585 0.5000 0.6165
O3 O 0.2137 0.5000 0.0706
```

[7]
# Pa3Pb5O12

Crystalline Pa3Pb5O12 at its relaxed geometry (PBE, Alexandria).

Computed properties:
Energy relative to the elements, uncorrected: -1.9660 eV per atom
Electronic total energy: -1166.78 eV/cell
N(E_F): 50.96 states/eV per cell

Cell and atoms, written as CIF:
```
data_Pa3Pb5O12
_chemical_formula_sum 'Pa24 Pb40 O96'
_symmetry_space_group_name_H-M 'I a -3 d'
_symmetry_Int_Tables_number 230
_symmetry_space_group_name_Hall '-I 4bd 2c 3'
_cell_length_a 14.5719
_cell_length_b 14.5719
_cell_length_c 14.5719
_cell_angle_alpha 90.00
_cell_angle_beta 90.00
_cell_angle_gamma 90.00
loop_
_atom_site_label
_atom_site_type_symbol
_atom_site_fract_x
_atom_site_fract_y
_atom_site_fract_z
Pa1 Pa 0.0000 0.2500 0.1250
Pb1 Pb 0.0000 0.0000 0.0000
Pb2 Pb 0.0000 0.2500 0.3750
O1 O 0.0136 0.0414 0.1669
```

[8]
# Pa2Pb2O7

Crystalline Pa2Pb2O7 at its relaxed geometry (PBE, Alexandria).

Computed properties:
Energy relative to the elements, uncorrected: -2.7115 eV per atom
Electronic total energy: -181.89 eV/cell
N(E_F): 0.00 states/eV per cell

Cell and atoms, written as CIF:
```
data_Pa2Pb2O7
_chemical_formula_sum 'Pa4 Pb4 O14'
_symmetry_space_group_name_H-M 'C m m m'
_symmetry_Int_Tables_number 65
_symmetry_space_group_name_Hall '-C 2 2'
_cell_length_a 7.2973
_cell_length_b 8.3080
_cell_length_c 5.7523
_cell_angle_alpha 90.00
_cell_angle_beta 90.00
_cell_angle_gamma 90.00
loop_
_atom_site_label
_atom_site_type_symbol
_atom_site_fract_x
_atom_site_fract_y
_atom_site_fract_z
Pa1 Pa 0.0000 0.2321 0.0000
Pb1 Pb 0.2495 0.5000 0.5000
O1 O 0.0000 0.0000 0.2326
O2 O 0.0000 0.5000 0.0000
O3 O 0.2500 0.2500 0.2249
```